! PBE Pr2SnP, optimized geometry; values from VASP
&SYSTEM
  ibrav = 0, nat = 8, ntyp = 3
/
ATOMIC_SPECIES
Pr 140.91 Pr.upf
Sn 118.71 Sn.upf
P 30.97 P.upf
ATOMIC_POSITIONS crystal
Pr 0.750 0.691 0.382
Pr 0.250 0.309 0.618
Pr 0.750 0.928 0.857
Pr 0.250 0.072 0.143
Sn 0.250 0.457 0.913
Sn 0.750 0.543 0.087
P 0.250 0.190 0.380
P 0.750 0.810 0.620
CELL_PARAMETERS angstrom
4.319 0.000 0.000
0.000 4.453 0.000
0.000 -2.226 11.977
! Distance to the lowest polymorph of the same formula (kJ per mole of atoms): 0.00
! ΔH_f (0 K) (eV/atom): -1.1268
! Size of the total moment (μB/f.u.): 0.0
! Space-group type: Cmcm